No. 1
Below is CdMoPt2 at its PBEsol-relaxed geometry, with properties calculated at the meta-GGA SCAN level.

For the formation energy, the calculation gives -0.403 eV/atom. As for the total energy: -207.30 eV for the cell shown. The calculated volume is 15.8 Å³/atom. As for the crystal system: tetragonal. The density of states at the Fermi level is 1.4 states/eV/cell.

The structure belongs to space group P4/mmm (No. 123); the cell edges are 2.7949, 2.7949 and 8.0756 Å and the angles 90.00°, 90.00° and 90.00°. The asymmetric unit holds Cd at (0.0000, 0.0000, 0.0000), Mo at (0.0000, 0.0000, 0.5000) and Pt at (0.5000, 0.5000, 0.2690).

***

No. 2
Below is CdMo2Pt at its PBEsol-relaxed geometry, with properties calculated at the meta-GGA SCAN level.

For the formation energy, the calculation gives 0.163 eV/atom. As for the total energy: -509.18 eV for the cell shown. The calculated volume is 16.1 Å³/atom. As for the crystal system: trigonal. The density of states at the Fermi level is 11.6 states/eV/cell.

The structure belongs to space group R3m (No. 160, hexagonal axes); the cell edges are 2.7893, 2.7893 and 28.6388 Å and the angles 90.00°, 90.00° and 120.00°. The asymmetric unit holds Cd at (0.0000, 0.0000, 0.0000), Mo at (0.0000, 0.0000, 0.5045), Mo at (0.0000, 0.0000, 0.7551) and Pt at (0.0000, 0.0000, 0.2476).

***

No. 3
Below is CdMo4Pt at its PBEsol-relaxed geometry, with properties calculated at the meta-GGA SCAN level.

For the formation energy, the calculation gives 0.337 eV/atom. As for the total energy: -952.51 eV for the cell shown. The calculated volume is 16.3 Å³/atom. As for the crystal system: cubic. The density of states at the Fermi level is 15.5 states/eV/cell.

The structure belongs to space group F-43m (No. 216); the cell edges are 7.3135, 7.3135 and 7.3135 Å and the angles 90.00°, 90.00° and 90.00°. The asymmetric unit holds Cd at (0.0000, 0.0000, 0.0000), Mo at (0.1263, 0.1263, 0.6263) and Pt at (0.2500, 0.2500, 0.2500).

***

No. 4
Below is CdMoPt2 at its PBEsol-relaxed geometry, with properties calculated at the meta-GGA SCAN level.

For the formation energy, the calculation gives 0.064 eV/atom. As for the total energy: -821.72 eV for the cell shown. The calculated volume is 15.8 Å³/atom. As for the crystal system: cubic. The density of states at the Fermi level is 4.3 states/eV/cell.

The structure belongs to space group F-43m (No. 216); the cell edges are 6.3265, 6.3265 and 6.3265 Å and the angles 90.00°, 90.00° and 90.00°. The asymmetric unit holds Cd at (0.0000, 0.0000, 0.0000), Mo at (0.2500, 0.2500, 0.7500), Pt at (0.0000, 0.0000, 0.5000) and Pt at (0.2500, 0.2500, 0.2500).

***

No. 5
Below is CdMoPt2 at its PBEsol-relaxed geometry, with properties calculated at the meta-GGA SCAN level.

For the formation energy, the calculation gives 0.019 eV/atom. As for the total energy: -205.61 eV for the cell shown. The calculated volume is 16.3 Å³/atom. As for the crystal system: tetragonal. The density of states at the Fermi level is 1.6 states/eV/cell.

The structure belongs to space group P4mm (No. 99); the cell edges are 3.2396, 3.2396 and 6.2041 Å and the angles 90.00°, 90.00° and 90.00°. The asymmetric unit holds Cd at (0.0000, 0.0000, 0.0000), Mo at (0.5000, 0.5000, 0.2971), Pt at (0.0000, 0.0000, 0.4977) and Pt at (0.5000, 0.5000, 0.7461).

***

No. 6
Below is CdMo2Pt at its PBEsol-relaxed geometry, with properties calculated at the meta-GGA SCAN level.

For the formation energy, the calculation gives 0.080 eV/atom. As for the total energy: -340.12 eV for the cell shown. The calculated volume is 15.8 Å³/atom. As for the crystal system: tetragonal. The density of states at the Fermi level is 4.7 states/eV/cell.

The structure belongs to space group I4/mmm (No. 139); the cell edges are 3.7931, 3.7931 and 8.7690 Å and the angles 90.00°, 90.00° and 90.00°. The asymmetric unit holds Cd at (0.0000, 0.0000, 0.0000), Mo at (0.0000, 0.5000, 0.2500) and Pt at (0.0000, 0.0000, 0.5000).

***

No. 7
Below is CdReMo2 at its PBEsol-relaxed geometry, with properties calculated at the meta-GGA SCAN level.

For the formation energy, the calculation gives 0.479 eV/atom. As for the total energy: -169.37 eV for the cell shown. The calculated volume is 15.7 Å³/atom. As for the crystal system: tetragonal. The density of states at the Fermi level is 2.2 states/eV/cell.

The structure belongs to space group P4/mmm (No. 123); the cell edges are 3.9762, 3.9762 and 3.9654 Å and the angles 90.00°, 90.00° and 90.00°. The asymmetric unit holds Cd at (0.0000, 0.0000, 0.0000), Re at (0.5000, 0.5000, 0.0000) and Mo at (0.0000, 0.5000, 0.5000).

***

No. 8
Below is CdReMo2 at its PBEsol-relaxed geometry, with properties calculated at the meta-GGA SCAN level.

For the formation energy, the calculation gives 0.548 eV/atom. As for the total energy: -676.37 eV for the cell shown. The calculated volume is 15.9 Å³/atom. As for the crystal system: cubic. The density of states at the Fermi level is 10.6 states/eV/cell.

The structure belongs to space group F-43m (No. 216); the cell edges are 6.3312, 6.3312 and 6.3312 Å and the angles 90.00°, 90.00° and 90.00°. The asymmetric unit holds Cd at (0.0000, 0.0000, 0.0000), Re at (0.2500, 0.2500, 0.7500), Mo at (0.0000, 0.0000, 0.5000) and Mo at (0.2500, 0.2500, 0.2500).

***

No. 9
Below is CdRe2Mo at its PBEsol-relaxed geometry, with properties calculated at the meta-GGA SCAN level.

For the formation energy, the calculation gives 0.461 eV/atom. As for the total energy: -411.30 eV for the cell shown. The calculated volume is 15.8 Å³/atom. As for the crystal system: monoclinic. The density of states at the Fermi level is 4.8 states/eV/cell.

The structure belongs to space group Cm (No. 8); the cell edges are 9.4795, 2.8553 and 4.7759 Å and the angles 90.00°, 102.46° and 90.00°. The asymmetric unit holds Cd at (0.0000, 0.0000, 0.0000), Re at (0.0072, 0.5000, 0.5046), Re at (0.2391, 0.0000, 0.7215) and Mo at (0.2636, 0.5000, 0.2741).

***

No. 10
Below is Cd2ReMo at its PBEsol-relaxed geometry, with properties calculated at the meta-GGA SCAN level.

For the formation energy, the calculation gives 0.508 eV/atom. As for the total energy: -329.56 eV for the cell shown. The energy above the most stable polymorph in this dataset comes out at 193 meV per atom. The calculated volume is 17.4 Å³/atom. As for the crystal system: orthorhombic. The density of states at the Fermi level is 4.4 states/eV/cell.

The structure belongs to space group Imm2 (No. 44); the cell edges are 3.2125, 4.7857 and 9.0723 Å and the angles 90.00°, 90.00° and 90.00°. The asymmetric unit holds Cd at (0.0000, 0.0000, 0.0000), Cd at (0.0000, 0.5000, 0.2358), Re at (0.0000, 0.0000, 0.4699) and Mo at (0.0000, 0.5000, 0.7691).

***

No. 11
Below is CdRe2Mo at its PBEsol-relaxed geometry, with properties calculated at the meta-GGA SCAN level.

For the formation energy, the calculation gives 0.568 eV/atom. As for the total energy: -820.88 eV for the cell shown. The calculated volume is 15.7 Å³/atom. As for the crystal system: cubic. The density of states at the Fermi level is 12.1 states/eV/cell.

The structure belongs to space group F-43m (No. 216); the cell edges are 6.3046, 6.3046 and 6.3046 Å and the angles 90.00°, 90.00° and 90.00°. The asymmetric unit holds Cd at (0.0000, 0.0000, 0.0000), Re at (0.0000, 0.0000, 0.5000), Re at (0.2500, 0.2500, 0.2500) and Mo at (0.2500, 0.2500, 0.7500).

***

No. 12
Below is Cd2ReMo at its PBEsol-relaxed geometry, with properties calculated at the meta-GGA SCAN level.

For the formation energy, the calculation gives 0.315 eV/atom. As for the total energy: -496.65 eV for the cell shown. The energy above the most stable polymorph in this dataset comes out at 0 meV per atom. The calculated volume is 17.3 Å³/atom. As for the crystal system: trigonal. The density of states at the Fermi level is 9.4 states/eV/cell.

The structure belongs to space group R3m (No. 160, hexagonal axes); the cell edges are 2.8821, 2.8821 and 28.8526 Å and the angles 90.00°, 90.00° and 120.00°. The asymmetric unit holds Cd at (0.0000, 0.0000, 0.0000), Cd at (0.0000, 0.0000, 0.2400), Re at (0.0000, 0.0000, 0.4884) and Mo at (0.0000, 0.0000, 0.7531).